## a
4
Lattice="0.000 3.782 3.782 3.782 0.000 3.782 3.782 3.782 0.000" Properties=species:S:1:pos:R:3 comment="Sr2TiPt | the Alexandria database | PBE-GGA | relaxed" magnetic_moment_mub_per_fu=0.0 pbc="T T T"
Sr 1.891 1.891 1.891
Sr 5.673 5.673 5.673
Ti 0.000 0.000 0.000
Pt 3.782 3.782 3.782

## b
8
Lattice="-5.624 5.624 2.450 5.624 -5.624 2.450 5.624 5.624 -2.450" Properties=species:S:1:pos:R:3 comment="Sr2TiPt | the Alexandria database | PBE-GGA | relaxed" magnetic_moment_mub_per_fu=1.4 pbc="T T T"
Sr 1.029 2.812 0.612
Sr -2.812 4.596 1.837
Sr -1.029 8.437 0.612
Sr 2.812 6.653 1.837
Ti 5.624 0.000 1.225
Ti 0.000 0.000 2.450
Pt 0.000 0.000 0.000
Pt 0.000 5.624 1.225

b wins, 382 meV per atom ahead of the next structure.

## a
8
Lattice="-4.325 4.325 3.613 4.325 -4.325 3.613 4.325 4.325 -3.613" Properties=species:S:1:pos:R:3 comment="Sr2TlPt | the Alexandria database | PBE-GGA | relaxed" magnetic_moment_mub_per_fu=0.0 pbc="T T T"
Sr 6.488 1.725 -0.903
Sr 1.725 2.163 0.903
Sr -2.163 2.601 2.710
Sr 2.601 2.163 4.516
Tl 4.325 0.000 1.807
Tl 0.000 0.000 3.613
Pt 0.000 0.000 0.000
Pt 0.000 4.325 1.807

## b
4
Lattice="3.794 0.000 0.000 0.000 3.745 0.000 -0.011 0.000 8.337" Properties=species:S:1:pos:R:3 comment="Sr2TlPt | the Alexandria database | PBE-GGA | relaxed" magnetic_moment_mub_per_fu=0.0 pbc="T T T"
Sr -0.002 0.000 1.774
Sr 3.785 0.000 6.563
Tl 1.891 1.872 4.169
Pt 1.897 1.872 0.000

b wins, 257 meV per atom ahead of the next structure.

## a
6
Lattice="0.000 4.767 4.767 4.767 0.000 4.767 4.767 4.767 0.000" Properties=species:S:1:pos:R:3 comment="Sr4TlPt | the Alexandria database | PBE-GGA | relaxed" magnetic_moment_mub_per_fu=0.0 pbc="T T T"
Sr 3.582 3.582 3.582
Sr 5.953 5.953 3.582
Sr 5.953 3.582 5.953
Sr 3.582 5.953 5.953
Tl 0.000 0.000 0.000
Pt 7.151 7.151 7.151

## b
12
Lattice="4.965 -8.159 0.000 4.965 8.159 0.000 -4.443 0.000 6.104" Properties=species:S:1:pos:R:3 comment="Sr4TlPt | the Alexandria database | PBE-GGA | relaxed" magnetic_moment_mub_per_fu=0.0 pbc="T T T"
Sr -0.271 4.793 5.315
Sr -0.783 0.598 4.486
Sr 1.439 -0.598 1.434
Sr 3.536 4.793 3.841
Sr 1.951 -4.793 2.263
Sr 4.048 0.598 4.670
Sr 6.270 -0.598 1.618
Sr 5.758 -4.793 0.789
Tl 3.854 2.133 1.526
Tl 1.633 -2.133 4.578
Pt 1.633 6.992 4.578
Pt 3.854 -6.992 1.526

b wins, 942 meV per atom ahead of the next structure.

## a
5
Lattice="5.418 0.000 0.000 0.000 5.418 0.000 0.000 0.000 5.418" Properties=species:S:1:pos:R:3 comment="SrTl3Pt | the Alexandria database | PBE-GGA | relaxed" magnetic_moment_mub_per_fu=0.0 pbc="T T T"
Sr 0.000 0.000 0.000
Tl 0.000 2.709 2.709
Tl 2.709 0.000 2.709
Tl 2.709 2.709 0.000
Pt 2.709 2.709 2.709

## b
5
Lattice="6.089 0.000 0.000 0.000 6.089 0.000 0.000 0.000 6.089" Properties=species:S:1:pos:R:3 comment="SrTl3Pt | the Alexandria database | PBE-GGA | relaxed" magnetic_moment_mub_per_fu=0.0 pbc="T T T"
Sr 0.000 0.000 0.000
Tl 0.000 0.000 3.045
Tl 0.000 3.045 0.000
Tl 3.045 0.000 0.000
Pt 3.045 3.045 3.045

a wins, 1240 meV per atom ahead of the next structure.

## a
8
Lattice="-5.628 5.628 2.458 5.628 -5.628 2.458 5.628 5.628 -2.458" Properties=species:S:1:pos:R:3 comment="Sr2PtW | the Alexandria database | PBE-GGA | relaxed" magnetic_moment_mub_per_fu=2.5 pbc="T T T"
Sr 0.946 2.814 0.615
Sr -2.814 4.683 1.844
Sr -0.946 8.443 0.615
Sr 2.814 6.574 1.844
Pt 0.000 0.000 0.000
Pt 0.000 5.628 1.229
W 5.628 0.000 1.229
W 0.000 0.000 2.458

## b
4
Lattice="3.872 0.000 0.000 0.000 3.872 0.000 0.000 0.000 6.959" Properties=species:S:1:pos:R:3 comment="Sr2PtW | the Alexandria database | PBE-GGA | relaxed" magnetic_moment_mub_per_fu=3.3 pbc="T T T"
Sr 0.000 0.000 1.630
Sr 0.000 0.000 5.329
Pt 1.936 1.936 0.000
W 1.936 1.936 3.480

## c
4
Lattice="-2.286 2.286 4.984 2.286 -2.286 4.984 2.286 2.286 -4.984" Properties=species:S:1:pos:R:3 comment="Sr2PtW | the Alexandria database | PBE-GGA | relaxed" magnetic_moment_mub_per_fu=4.0 pbc="T T T"
Sr 0.000 0.000 0.000
Sr 0.000 2.286 2.492
Pt 0.000 0.000 4.984
W 2.286 0.000 2.492

## d
4
Lattice="4.357 0.000 0.000 0.000 2.461 5.632 0.000 -2.461 5.632" Properties=species:S:1:pos:R:3 comment="Sr2PtW | the Alexandria database | PBE-GGA | relaxed" magnetic_moment_mub_per_fu=0.6 pbc="T T T"
Sr 0.000 0.000 0.000
Sr 2.179 0.000 3.241
Pt 2.179 0.000 6.649
W 0.000 0.000 7.772

d wins, 305 meV per atom ahead of the next structure.

## a
4
Lattice="2.873 0.000 0.000 0.000 5.022 0.000 -0.375 0.000 5.204" Properties=species:S:1:pos:R:3 comment="SrPt2W | the Alexandria database | PBE-GGA | relaxed" magnetic_moment_mub_per_fu=0.0 pbc="T T T"
Sr 0.000 0.000 0.000
Pt 1.131 0.000 2.606
Pt 1.053 2.511 4.668
W 2.321 2.511 2.206

## b
4
Lattice="1.482 0.856 9.760 -1.482 0.856 9.760 0.000 -1.712 9.760" Properties=species:S:1:pos:R:3 comment="SrPt2W | the Alexandria database | PBE-GGA | relaxed" magnetic_moment_mub_per_fu=0.0 pbc="T T T"
Sr 0.000 0.000 0.000
Pt 0.000 0.000 7.057
Pt 0.000 0.000 22.223
W 0.000 0.000 14.640

## c
4
Lattice="-1.436 2.462 5.478 1.436 -2.462 5.478 1.436 2.462 -5.478" Properties=species:S:1:pos:R:3 comment="SrPt2W | the Alexandria database | PBE-GGA | relaxed" magnetic_moment_mub_per_fu=0.0 pbc="T T T"
Sr 0.000 0.000 0.000
Pt 0.000 0.000 5.420
Pt 0.000 2.462 2.520
W 1.436 0.000 3.140

## d
4
Lattice="3.362 0.000 0.000 0.000 3.362 0.000 0.000 0.000 7.334" Properties=species:S:1:pos:R:3 comment="SrPt2W | the Alexandria database | PBE-GGA | relaxed" magnetic_moment_mub_per_fu=0.0 pbc="T T T"
Sr 0.000 0.000 0.000
Pt 0.000 0.000 3.649
Pt 1.681 1.681 5.219
W 1.681 1.681 2.516

a wins, 119 meV per atom ahead of the next structure.

## a
4
Lattice="-2.049 2.049 4.515 2.049 -2.049 4.515 2.049 2.049 -4.515" Properties=species:S:1:pos:R:3 comment="SrPt2W | the Alexandria database | PBE-GGA | relaxed" magnetic_moment_mub_per_fu=0.0 pbc="T T T"
Sr 0.000 0.000 0.000
Pt 0.000 0.000 4.515
Pt 0.000 2.049 2.258
W 2.049 0.000 2.258

## b
4
Lattice="-1.996 2.705 4.018 1.996 -2.705 4.018 1.996 2.705 -4.018" Properties=species:S:1:pos:R:3 comment="SrPt2W | the Alexandria database | PBE-GGA | relaxed" magnetic_moment_mub_per_fu=0.0 pbc="T T T"
Sr 0.000 0.000 0.000
Pt 1.996 0.000 2.426
Pt 0.000 2.705 1.592
W 0.000 0.000 4.018

## c
4
Lattice="2.884 0.000 0.000 0.000 3.736 0.000 0.000 0.000 7.377" Properties=species:S:1:pos:R:3 comment="SrPt2W | the Alexandria database | PBE-GGA | relaxed" magnetic_moment_mub_per_fu=0.0 pbc="T T T"
Sr 0.000 0.000 0.000
Pt 1.442 1.868 2.285
Pt 1.442 1.868 5.092
W 0.000 0.000 3.688

## d
4
Lattice="4.128 -1.440 0.000 4.128 1.440 0.000 -0.729 0.000 6.999" Properties=species:S:1:pos:R:3 comment="SrPt2W | the Alexandria database | PBE-GGA | relaxed" magnetic_moment_mub_per_fu=0.0 pbc="T T T"
Sr 0.000 0.000 0.000
Pt 1.562 0.000 4.813
Pt 5.964 0.000 2.185
W 3.763 0.000 3.499

c wins, 197 meV per atom ahead of the next structure.

## a
8
Lattice="-3.788 3.788 3.446 3.788 -3.788 3.446 3.788 3.788 -3.446" Properties=species:S:1:pos:R:3 comment="SrPt2W | the Alexandria database | PBE-GGA | relaxed" magnetic_moment_mub_per_fu=0.0 pbc="T T T"
Sr 0.000 0.000 0.000
Sr 0.000 3.788 1.723
Pt 1.894 2.487 -0.862
Pt 5.089 1.894 0.862
Pt 1.894 1.301 2.585
Pt -1.301 1.894 4.308
W 3.788 0.000 1.723
W 0.000 0.000 3.446

## b
4
Lattice="5.387 -1.420 0.000 5.387 1.420 0.000 -1.211 0.000 4.934" Properties=species:S:1:pos:R:3 comment="SrPt2W | the Alexandria database | PBE-GGA | relaxed" magnetic_moment_mub_per_fu=0.0 pbc="T T T"
Sr 0.000 0.000 0.000
Pt 4.558 0.000 2.459
Pt 7.974 0.000 0.717
W 1.494 0.000 3.024

b wins, 159 meV per atom ahead of the next structure.

## a
4
Lattice="2.871 0.000 0.000 0.000 4.116 0.000 0.000 0.000 6.901" Properties=species:S:1:pos:R:3 comment="SrPt2W | the Alexandria database | PBE-GGA | relaxed" magnetic_moment_mub_per_fu=0.0 pbc="T T T"
Sr 0.000 0.000 0.000
Pt 0.000 0.000 3.447
Pt 1.436 2.058 5.044
W 1.436 2.058 2.462

## b
4
Lattice="3.003 0.000 0.000 0.000 3.003 0.000 0.000 0.000 8.384" Properties=species:S:1:pos:R:3 comment="SrPt2W | the Alexandria database | PBE-GGA | relaxed" magnetic_moment_mub_per_fu=0.0 pbc="T T T"
Sr 0.000 0.000 0.000
Pt 1.501 1.501 2.442
Pt 1.501 1.501 5.942
W 0.000 0.000 4.192

## c
4
Lattice="0.000 3.328 3.328 3.328 0.000 3.328 3.328 3.328 0.000" Properties=species:S:1:pos:R:3 comment="SrPt2W | the Alexandria database | PBE-GGA | relaxed" magnetic_moment_mub_per_fu=0.0 pbc="T T T"
Sr 0.000 0.000 0.000
Pt 3.328 3.328 3.328
Pt 4.991 4.991 4.991
W 1.664 1.664 1.664

b wins, 266 meV per atom ahead of the next structure.

## a
5
Lattice="4.978 0.000 0.000 0.000 4.978 0.000 0.000 0.000 4.978" Properties=species:S:1:pos:R:3 comment="SrPt3W | the Alexandria database | PBE-GGA | relaxed" magnetic_moment_mub_per_fu=0.0 pbc="T T T"
Sr 0.000 0.000 0.000
Pt 0.000 0.000 2.489
Pt 0.000 2.489 0.000
Pt 2.489 0.000 0.000
W 2.489 2.489 2.489

## b
5
Lattice="4.940 0.000 0.000 0.000 4.940 0.000 0.000 0.000 4.940" Properties=species:S:1:pos:R:3 comment="SrPt3W | the Alexandria database | PBE-GGA | relaxed" magnetic_moment_mub_per_fu=0.0 pbc="T T T"
Sr 0.000 0.000 0.000
Pt 0.000 2.470 2.470
Pt 2.470 0.000 2.470
Pt 2.470 2.470 0.000
W 2.470 2.470 2.470

b wins, 2339 meV per atom ahead of the next structure.